(1)
DFT (GGA-PBE) results for TbPr2Nd3Er6 after structural relaxation.

Calculated volume   32.51 A^3/atom
DFT total energy   -4.6411 eV per atom
Formation enthalpy at 0 K   0.015 eV per atom

Unit cell a=6.233 b=10.794 c=11.779 alpha=90.00 beta=100.13 gamma=90.00
Space group C2/m (No. 12)
Inequivalent atoms, fractional coordinates:
1 Tb 0.000 0.000 0.000 x2
2 Pr 0.000 0.334 0.000 x4
3 Nd 0.000 0.167 0.500 x4
4 Nd 0.000 0.500 0.500 x2
5 Er 0.249 0.000 0.750 x4
6 Er 0.250 0.166 0.250 x8

---

(2)
DFT (GGA-PBE) results for AcDyErLu after structural relaxation.

Calculated volume   34.00 A^3/atom
DFT total energy   -4.3327 eV per atom
Formation enthalpy at 0 K   0.116 eV per atom

Unit cell a=8.163 b=8.163 c=8.163 alpha=90.00 beta=90.00 gamma=90.00
Space group F-43m (No. 216)
Inequivalent atoms, fractional coordinates:
1 Ac 0.000 0.000 0.000 x4
2 Dy 0.000 0.000 0.500 x4
3 Er 0.250 0.250 0.250 x4
4 Lu 0.250 0.250 0.750 x4

---

(3)
DFT (GGA-PBE) results for Pm4PSeCl2 after structural relaxation.

Calculated volume   25.22 A^3/atom
DFT total energy   -5.5419 eV per atom

Unit cell a=7.050 b=4.157 c=7.311 alpha=90.00 beta=109.71 gamma=90.00
Space group P2/m (No. 10)
Inequivalent atoms, fractional coordinates:
1 Pm 0.220 0.000 0.225 x2
2 Pm 0.226 0.500 0.760 x2
3 P 0.000 0.500 0.000 x1
4 Se 0.000 0.000 0.500 x1
5 Cl 0.500 0.000 0.000 x1
6 Cl 0.500 0.500 0.500 x1

---

(4)
DFT (GGA-PBE) results for Li3TlAu after structural relaxation.

Calculated volume   18.13 A^3/atom
DFT total energy   -2.6171 eV per atom
Energy above the most stable polymorph in this dataset   0 meV/atom
Formation enthalpy at 0 K   -0.340 eV per atom

Unit cell a=4.684 b=5.696 c=7.370 alpha=102.66 beta=108.51 gamma=90.46
Space group P-1 (No. 2)
Inequivalent atoms, fractional coordinates:
1 Li 0.009 0.247 0.016 x2
2 Li 0.203 0.724 0.404 x2
3 Li 0.374 0.569 0.749 x2
4 Tl 0.397 0.090 0.792 x2
5 Au 0.191 0.226 0.383 x2

---

(5)
DFT (GGA-PBE) results for HoPuRe after structural relaxation.

Calculated volume   24.57 A^3/atom
DFT total energy   -10.2447 eV per atom
Formation enthalpy at 0 K   0.208 eV per atom

Unit cell a=5.984 b=13.567 c=7.262 alpha=90.00 beta=90.00 gamma=90.00
Space group Cmce (No. 64)
Inequivalent atoms, fractional coordinates:
1 Ho 0.000 0.195 0.101 x8
2 Pu 0.250 0.036 0.750 x8
3 Re 0.000 0.103 0.461 x8

---

(6)
DFT (GGA-PBE) results for Pr3Al4Ir2 after structural relaxation.

Calculated volume   22.43 A^3/atom
DFT total energy   -5.8591 eV per atom
Formation enthalpy at 0 K   -0.633 eV per atom

Unit cell a=10.705 b=4.563 c=8.450 alpha=90.00 beta=101.96 gamma=90.00
Space group C2/m (No. 12)
Inequivalent atoms, fractional coordinates:
1 Pr 0.000 0.000 0.000 x2
2 Pr 0.111 0.500 0.702 x4
3 Al 0.108 0.000 0.414 x4
4 Al 0.218 0.500 0.086 x4
5 Ir 0.189 0.500 0.369 x4

---

(7)
DFT (GGA-PBE) results for La2DyLu after structural relaxation.

Calculated volume   33.72 A^3/atom
DFT total energy   -4.7176 eV per atom
Energy above the most stable polymorph in this dataset   3 meV/atom
Formation enthalpy at 0 K   0.027 eV per atom

Unit cell a=3.722 b=3.722 c=9.734 alpha=90.00 beta=90.00 gamma=90.00
Space group P4/mmm (No. 123)
Inequivalent atoms, fractional coordinates:
1 La 0.000 0.000 0.246 x2
2 Dy 0.500 0.500 0.500 x1
3 Lu 0.500 0.500 0.000 x1

---

(8)
DFT (GGA-PBE) results for SmY8Tl2 after structural relaxation.

Calculated volume   31.99 A^3/atom
DFT total energy   -5.5844 eV per atom
Formation enthalpy at 0 K   -0.024 eV per atom

Unit cell a=8.933 b=15.091 c=5.679 alpha=90.00 beta=113.18 gamma=90.00
Space group C2/m (No. 12)
Inequivalent atoms, fractional coordinates:
1 Sm 0.000 0.000 0.000 x2
2 Y 0.000 0.221 0.000 x4
3 Y 0.096 0.500 0.797 x4
4 Y 0.208 0.115 0.616 x8
5 Tl 0.000 0.306 0.500 x4

---

(9)
DFT (GGA-PBE) results for SnH8Ir2Pd after structural relaxation.

Calculated volume   9.67 A^3/atom
DFT total energy   -4.3116 eV per atom

Unit cell a=4.7515 b=4.7515 c=17.7970 alpha=90.00 beta=90.00 gamma=120.00
Space group R-3 (No. 148, hexagonal axes)
Inequivalent atoms, fractional coordinates:
1 Sn 0.0000 0.0000 0.0000 x3
2 H 0.0000 0.0000 0.3050 x6
3 H 0.0039 0.3061 0.4348 x18
4 Ir 0.0000 0.0000 0.2154 x6
5 Pd 0.0000 0.0000 0.5000 x3

---

(10)
DFT (GGA-PBE) results for Ir5Pt after structural relaxation.

Calculated volume   14.77 A^3/atom
DFT total energy   -8.2909 eV per atom
Energy above the most stable polymorph in this dataset   77 meV/atom
Formation enthalpy at 0 K   0.100 eV per atom

Unit cell a=4.483 b=2.754 c=14.355 alpha=90.00 beta=90.00 gamma=90.00
Space group Amm2 (No. 38)
Inequivalent atoms, fractional coordinates:
1 Ir 0.000 0.000 0.000 x2
2 Ir 0.000 0.000 0.331 x2
3 Ir 0.000 0.000 0.664 x2
4 Ir 0.500 0.000 0.111 x2
5 Ir 0.500 0.000 0.774 x2
6 Pt 0.500 0.000 0.442 x2

---

(11)
DFT (GGA-PBE) results for TbSm2Mg after structural relaxation.

Calculated volume   32.65 A^3/atom
DFT total energy   -3.7286 eV per atom
Energy above the most stable polymorph in this dataset   218 meV/atom
Formation enthalpy at 0 K   0.187 eV per atom

Unit cell a=3.4852 b=3.4852 c=37.2466 alpha=90.00 beta=90.00 gamma=120.00
Space group R-3m (No. 166, hexagonal axes)
Inequivalent atoms, fractional coordinates:
1 Tb 0.0000 0.0000 0.0000 x3
2 Sm 0.0000 0.0000 0.4108 x6
3 Mg 0.0000 0.0000 0.5000 x3

---

(12)
DFT (GGA-PBE) results for Ba3TmHf2O9 after structural relaxation.

Calculated volume   15.56 A^3/atom
DFT total energy   -8.1699 eV per atom

Unit cell a=6.0344 b=6.0344 c=7.4005 alpha=90.00 beta=90.00 gamma=120.00
Space group P-3m1 (No. 164)
Inequivalent atoms, fractional coordinates:
1 Ba 0.0000 0.0000 0.0000 x1
2 Ba 0.3333 0.6667 0.6647 x2
3 Tm 0.0000 0.0000 0.5000 x1
4 Hf 0.3333 0.6667 0.1643 x2
5 O 0.0000 0.5000 0.0000 x3
6 O 0.1719 0.3437 0.3251 x6

---

| no. | magnetic moment (Bohr magnetons per cell) |
| --- | --- |
| 1 | 0.00 |
| 2 | 0.00 |
| 3 | 0.00 |
| 4 | 0.00 |
| 5 | 37.75 |
| 6 | 0.00 |
| 7 | 0.00 |
| 8 | 0.00 |
| 9 | 0.00 |
| 10 | 0.00 |
| 11 | 0.00 |
| 12 | 0.41 |